1.
First-principles (GGA-PBE) data for a relaxed CdSbRuI2 crystal, as listed in Alexandria via LeMat-Bulk.

```
data_CdSbRuI2
_chemical_formula_sum 'Cd1 Sb1 Ru1 I2'
_cell_length_a 5.579
_cell_length_b 5.579
_cell_length_c 5.034
_cell_angle_alpha 90.00
_cell_angle_beta 90.00
_cell_angle_gamma 90.00
_space_group_name_H-M_alt 'P 4/m m m'
_space_group_IT_number 123
_space_group_name_Hall '-P 4 2'
loop_
_atom_site_label
_atom_site_type_symbol
_atom_site_fract_x
_atom_site_fract_y
_atom_site_fract_z
_atom_site_occupancy
Cd1 Cd 0.000 0.000 0.000 1
Sb1 Sb 0.500 0.500 0.000 1
Ru1 Ru 0.500 0.500 0.500 1
I1 I 0.000 0.500 0.500 1
```

Properties
Crystal system   tetragonal
Mass density   6.2 g cm⁻³
ΔE to the lowest computed polymorph   0.0 meV per atom
M_tot   0.000 μB/atom
Uncorrected formation energy   7.95 kcal/mol of atoms



2.
First-principles (GGA-PBE) data for a relaxed Mn2BeHg crystal, as listed in Alexandria via LeMat-Bulk.

```
data_Mn2BeHg
_chemical_formula_sum 'Mn4 Be2 Hg2'
_cell_length_a 7.997
_cell_length_b 2.773
_cell_length_c 4.903
_cell_angle_alpha 90.00
_cell_angle_beta 99.77
_cell_angle_gamma 90.00
_space_group_name_H-M_alt 'C 1 m 1'
_space_group_IT_number 8
_space_group_name_Hall 'C -2y'
loop_
_atom_site_label
_atom_site_type_symbol
_atom_site_fract_x
_atom_site_fract_y
_atom_site_fract_z
_atom_site_occupancy
Mn1 Mn 0.000 0.000 0.000 1
Mn2 Mn 0.240 0.500 0.165 1
Be1 Be 0.262 0.000 0.788 1
Hg1 Hg 0.002 0.500 0.508 1
```

Properties
Crystal system   monoclinic
Mass density   9.9 g cm⁻³
ΔE to the lowest computed polymorph   213.5 meV per atom
M_tot   0.721 μB/atom
E_form   1.77 eV per formula unit



3.
First-principles (GGA-PBE) data for a relaxed Sn2SbTe crystal, as listed in Alexandria via LeMat-Bulk.

```
data_Sn2SbTe
_chemical_formula_sum 'Sn2 Sb1 Te1'
_cell_length_a 3.816
_cell_length_b 3.816
_cell_length_c 7.666
_cell_angle_alpha 90.00
_cell_angle_beta 90.00
_cell_angle_gamma 90.00
_space_group_name_H-M_alt 'P 4/m m m'
_space_group_IT_number 123
_space_group_name_Hall '-P 4 2'
loop_
_atom_site_label
_atom_site_type_symbol
_atom_site_fract_x
_atom_site_fract_y
_atom_site_fract_z
_atom_site_occupancy
Sn1 Sn 0.000 0.000 0.248 1
Sb1 Sb 0.500 0.500 0.000 1
Te1 Te 0.500 0.500 0.500 1
```

Properties
Crystal system   tetragonal
Mass density   7.2 g cm⁻³
ΔE to the lowest computed polymorph   181.1 meV per atom
M_tot   0.000 μB/atom
Uncorrected formation energy   1.60 kcal/mol of atoms



4.
First-principles (GGA-PBE) data for a relaxed Pm2HoNi3Ge4 crystal, as listed in Alexandria via LeMat-Bulk.

```
data_Pm2HoNi3Ge4
_chemical_formula_sum 'Pm2 Ho1 Ni3 Ge4'
_cell_length_a 4.172
_cell_length_b 4.172
_cell_length_c 10.902
_cell_angle_alpha 90.00
_cell_angle_beta 90.00
_cell_angle_gamma 90.00
_space_group_name_H-M_alt 'P -4 m 2'
_space_group_IT_number 115
_space_group_name_Hall 'P -4 -2'
loop_
_atom_site_label
_atom_site_type_symbol
_atom_site_fract_x
_atom_site_fract_y
_atom_site_fract_z
_atom_site_occupancy
Pm1 Pm 0.000 0.500 0.222 1
Ho1 Ho 0.000 0.000 0.500 1
Ni1 Ni 0.000 0.500 0.889 1
Ni2 Ni 0.500 0.500 0.500 1
Ge1 Ge 0.000 0.000 0.000 1
Ge2 Ge 0.000 0.500 0.672 1
Ge3 Ge 0.500 0.500 0.000 1
```

Properties
Crystal system   tetragonal
Mass density   8.1 g cm⁻³
M_tot   0.000 μB/atom
E_form   -6.62 eV per formula unit



5.
First-principles (GGA-PBE) data for a relaxed Ti6AlSi crystal, as listed in Alexandria via LeMat-Bulk.

```
data_Ti6AlSi
_chemical_formula_sum 'Ti12 Al2 Si2'
_cell_length_a 4.591
_cell_length_b 5.691
_cell_length_c 9.832
_cell_angle_alpha 90.00
_cell_angle_beta 90.00
_cell_angle_gamma 90.00
_space_group_name_H-M_alt 'A m m 2'
_space_group_IT_number 38
_space_group_name_Hall 'A 2 -2'
loop_
_atom_site_label
_atom_site_type_symbol
_atom_site_fract_x
_atom_site_fract_y
_atom_site_fract_z
_atom_site_occupancy
Ti1 Ti 0.000 0.000 0.000 1
Ti2 Ti 0.000 0.241 0.242 1
Ti3 Ti 0.500 0.000 0.660 1
Ti4 Ti 0.500 0.246 0.413 1
Al1 Al 0.000 0.000 0.495 1
Si1 Si 0.500 0.000 0.162 1
```

Properties
Crystal system   orthorhombic
Mass density   4.4 g cm⁻³
M_tot   0.000 μB/atom
Uncorrected formation energy   -8.41 kcal/mol of atoms



6.
First-principles (GGA-PBE) data for a relaxed ZnPdAu crystal, as listed in Alexandria via LeMat-Bulk.

```
data_ZnPdAu
_chemical_formula_sum 'Zn2 Pd2 Au2'
_cell_length_a 2.879
_cell_length_b 4.154
_cell_length_c 8.062
_cell_angle_alpha 90.00
_cell_angle_beta 99.83
_cell_angle_gamma 90.00
_space_group_name_H-M_alt 'P 1 21/m 1'
_space_group_IT_number 11
_space_group_name_Hall '-P 2yb'
loop_
_atom_site_label
_atom_site_type_symbol
_atom_site_fract_x
_atom_site_fract_y
_atom_site_fract_z
_atom_site_occupancy
Zn1 Zn 0.041 0.250 0.090 1
Pd1 Pd 0.401 0.250 0.794 1
Au1 Au 0.208 0.250 0.414 1
```

Properties
Crystal system   monoclinic
Mass density   12.9 g cm⁻³
ΔE to the lowest computed polymorph   44.5 meV per atom
M_tot   0.000 μB/atom
E_form   -0.91 eV per formula unit



7.
First-principles (GGA-PBE) data for a relaxed Ho8SbC4 crystal, as listed in Alexandria via LeMat-Bulk.

```
data_Ho8SbC4
_chemical_formula_sum 'Ho16 Sb2 C8'
_cell_length_a 17.222
_cell_length_b 3.618
_cell_length_c 11.782
_cell_angle_alpha 90.00
_cell_angle_beta 130.88
_cell_angle_gamma 90.00
_space_group_name_H-M_alt 'C 1 2/m 1'
_space_group_IT_number 12
_space_group_name_Hall '-C 2y'
loop_
_atom_site_label
_atom_site_type_symbol
_atom_site_fract_x
_atom_site_fract_y
_atom_site_fract_z
_atom_site_occupancy
Ho1 Ho 0.042 0.000 0.237 1
Ho2 Ho 0.131 0.500 0.088 1
Ho3 Ho 0.164 0.500 0.838 1
Ho4 Ho 0.203 0.500 0.568 1
Sb1 Sb 0.000 0.000 0.500 1
C1 C 0.148 0.000 0.959 1
C2 C 0.167 0.500 0.330 1
```

Properties
Crystal system   monoclinic
Mass density   8.9 g cm⁻³
ΔE to the lowest computed polymorph   0.0 meV per atom
M_tot   0.000 μB/atom
Uncorrected formation energy   -8.52 kcal/mol of atoms



8.
First-principles (GGA-PBE) data for a relaxed Ce2In5Pd4 crystal, as listed in Alexandria via LeMat-Bulk.

```
data_Ce2In5Pd4
_chemical_formula_sum 'Ce4 In10 Pd8'
_cell_length_a 9.716
_cell_length_b 4.681
_cell_length_c 10.641
_cell_angle_alpha 90.00
_cell_angle_beta 102.32
_cell_angle_gamma 90.00
_space_group_name_H-M_alt 'P 1 21/m 1'
_space_group_IT_number 11
_space_group_name_Hall '-P 2yb'
loop_
_atom_site_label
_atom_site_type_symbol
_atom_site_fract_x
_atom_site_fract_y
_atom_site_fract_z
_atom_site_occupancy
Ce1 Ce 0.173 0.250 0.201 1
Ce2 Ce 0.276 0.250 0.609 1
In1 In 0.076 0.750 0.421 1
In2 In 0.093 0.250 0.860 1
In3 In 0.333 0.750 0.846 1
In4 In 0.382 0.750 0.425 1
In5 In 0.418 0.750 0.152 1
Pd1 Pd 0.070 0.750 0.684 1
Pd2 Pd 0.134 0.750 0.015 1
Pd3 Pd 0.374 0.250 0.000 1
Pd4 Pd 0.479 0.250 0.316 1
```

Properties
Crystal system   monoclinic
Mass density   9.0 g cm⁻³
M_tot   0.168 μB/atom
E_form   -6.50 eV per formula unit



9.
First-principles (GGA-PBE) data for a relaxed LaPmDy2Ho5 crystal, as listed in Alexandria via LeMat-Bulk.

```
data_LaPmDy2Ho5
_chemical_formula_sum 'La4 Pm4 Dy8 Ho20'
_cell_length_a 8.851
_cell_length_b 8.851
_cell_length_c 15.064
_cell_angle_alpha 90.00
_cell_angle_beta 90.00
_cell_angle_gamma 90.00
_space_group_name_H-M_alt 'I 4/m c m'
_space_group_IT_number 140
_space_group_name_Hall '-I 4 2c'
loop_
_atom_site_label
_atom_site_type_symbol
_atom_site_fract_x
_atom_site_fract_y
_atom_site_fract_z
_atom_site_occupancy
La1 La 0.000 0.000 0.250 1
Pm1 Pm 0.000 0.500 0.250 1
Dy1 Dy 0.115 0.385 0.000 1
Ho1 Ho 0.000 0.000 0.000 1
Ho2 Ho 0.204 0.296 0.368 1
```

Properties
Crystal system   tetragonal
Mass density   8.1 g cm⁻³
M_tot   0.000 μB/atom
E_form   2.47 eV per formula unit



10.
First-principles (GGA-PBE) data for a relaxed Cs3UBr8 crystal, as listed in Alexandria via LeMat-Bulk.

```
data_Cs3UBr8
_chemical_formula_sum 'Cs6 U2 Br16'
_cell_length_a 10.9487
_cell_length_b 10.9487
_cell_length_c 9.7258
_cell_angle_alpha 90.00
_cell_angle_beta 90.00
_cell_angle_gamma 120.00
_space_group_name_H-M_alt 'P 63 m c'
_space_group_IT_number 186
_space_group_name_Hall 'P 6c -2c'
loop_
_atom_site_label
_atom_site_type_symbol
_atom_site_fract_x
_atom_site_fract_y
_atom_site_fract_z
_atom_site_occupancy
Cs1 Cs 0.1528 0.3055 0.0000 1
U1 U 0.3333 0.6667 0.4243 1
Br1 Br 0.0000 0.0000 0.2522 1
Br2 Br 0.0563 0.5281 0.3342 1
Br3 Br 0.2202 0.4405 0.6032 1
Br4 Br 0.3333 0.6667 0.1079 1
```

Properties
Crystal system   hexagonal
Mass density   4.2 g cm⁻³
ΔE to the lowest computed polymorph   0.0 meV per atom
M_tot   0.083 μB/atom
Uncorrected formation energy   -34.70 kcal/mol of atoms



11.
First-principles (GGA-PBE) data for a relaxed Ti2FeMo crystal, as listed in Alexandria via LeMat-Bulk.

```
data_Ti2FeMo
_chemical_formula_sum 'Ti4 Fe2 Mo2'
_cell_length_a 2.655
_cell_length_b 4.710
_cell_length_c 9.941
_cell_angle_alpha 90.00
_cell_angle_beta 90.00
_cell_angle_gamma 90.00
_space_group_name_H-M_alt 'I m m m'
_space_group_IT_number 71
_space_group_name_Hall '-I 2 2'
loop_
_atom_site_label
_atom_site_type_symbol
_atom_site_fract_x
_atom_site_fract_y
_atom_site_fract_z
_atom_site_occupancy
Ti1 Ti 0.000 0.000 0.237 1
Fe1 Fe 0.000 0.000 0.000 1
Mo1 Mo 0.000 0.000 0.500 1
```

Properties
Crystal system   orthorhombic
Mass density   6.6 g cm⁻³
M_tot   0.398 μB/atom
E_form   1.71 eV per formula unit



12.
First-principles (GGA-PBE) data for a relaxed CaTl3Hg3 crystal, as listed in Alexandria via LeMat-Bulk.

```
data_CaTl3Hg3
_chemical_formula_sum 'Ca4 Tl12 Hg12'
_cell_length_a 10.549
_cell_length_b 9.835
_cell_length_c 7.919
_cell_angle_alpha 90.00
_cell_angle_beta 90.01
_cell_angle_gamma 90.00
_space_group_name_H-M_alt 'C 1 2/m 1'
_space_group_IT_number 12
_space_group_name_Hall '-C 2y'
loop_
_atom_site_label
_atom_site_type_symbol
_atom_site_fract_x
_atom_site_fract_y
_atom_site_fract_z
_atom_site_occupancy
Ca1 Ca 0.241 0.000 0.001 1
Tl1 Tl 0.000 0.285 0.000 1
Tl2 Tl 0.000 0.292 0.500 1
Tl3 Tl 0.242 0.000 0.499 1
Hg1 Hg 0.001 0.000 0.752 1
Hg2 Hg 0.250 0.249 0.751 1
```

Properties
Crystal system   monoclinic
Mass density   10.1 g cm⁻³
ΔE to the lowest computed polymorph   0.0 meV per atom
M_tot   0.000 μB/atom
E_form   -1.02 eV per formula unit



Quick rundown of DFT total energy, same order as above: -3.138; -5.151; -3.748; -5.651; -7.431; -3.552; -6.342; -4.802; -4.367; -3.774; -8.344; -1.575 eV per atom